YScAl | PBE | optimized geometry

Values from the calculation:
**D(E_F)**: 1.05 states/eV/atom
**ΔE to the lowest computed polymorph**: 0 meV per atom
**ρ**: 3.71 Mg/m³

Cell: 3.588 5.096 8.067 Å, 90.00 102.85 90.00°
Space group P2_1/m (No. 11)
Symmetry-distinct sites (fractional):
Y1 0.078 0.250 0.158
Sc1 0.232 0.750 0.464
Al1 0.413 0.250 0.826